Entry 1:
Pm8CuSi3Br4: optimized geometry, PBE-GGA.

volume = 27.873 A^3/atom
space-group type = R-3m
uncorrected energy = -80.4 eV per cell
energy relative to the elements, uncorrected = -15.3 eV/f.u.

abc: 8.4378 8.7214 8.4369
angles: 118.93 120.00 90.00
Last column: nearest neighbours and their distance in Å.
Element x y z (fractional)
Pm1 0.7619 0.2856 0.0234  1 Cu 2.89, 2 Si 2.89, 3 Br 3.19-3.20
Pm2 0.2380 0.7144 0.4760  1 Cu 2.89, 2 Si 2.89, 3 Br 3.19
Pm3 0.7620 0.2856 0.5240  1 Cu 2.89, 2 Si 2.89, 3 Br 3.19
Pm4 0.2381 0.7144 0.9766  1 Cu 2.89, 2 Si 2.89, 3 Br 3.19-3.20
Pm5 0.2614 0.2856 0.0234  1 Cu 2.89, 2 Si 2.89, 3 Br 3.19-3.20
Pm6 0.7386 0.7144 0.9766  1 Cu 2.89, 2 Si 2.89, 3 Br 3.19-3.20
Pm7 0.7378 0.7132 0.4756  3 Si 2.88, 3 Br 3.20
Pm8 0.2622 0.2868 0.5244  3 Si 2.88, 3 Br 3.20
Si1 0.0000 0.5000 0.5000  6 Pm 2.88-2.89
Si2 0.5000 0.5000 0.5000  6 Pm 2.88-2.89
Si3 0.5000 0.5000 0.0000  6 Pm 2.88-2.89
Cu1 0.0000 0.5000 0.0000  6 Pm 2.89
Br1 0.5000 0.0000 0.5000  6 Pm 3.19-3.20
Br2 0.0000 0.0000 0.0000  6 Pm 3.19-3.20
Br3 0.0000 0.0000 0.5000  6 Pm 3.19-3.20
Br4 0.5000 0.0000 0.0000  6 Pm 3.19-3.20


Entry 2:
Sr3Sn2Hg6Pb: optimized geometry, PBE-GGA.

energy of formation = -258 meV per atom
volume = 30.138 A^3/atom
space-group type = P-3m1
uncorrected energy = -21.7 eV per cell

abc: 6.5110 6.5110 9.8507
angles: 90.00 90.00 120.00
Last column: nearest neighbours and their distance in Å.
Element x y z (fractional)
Sn1 0.3333 0.6667 0.9776  3 Hg 3.25, 1 Sr 3.61
Sn2 0.6667 0.3333 0.0224  3 Hg 3.25, 1 Sr 3.61
Hg1 0.6430 0.8215 0.2559  2 Hg 3.02, 1 Pb 3.14, 1 Sr 3.23, 1 Sn 3.25
Hg2 0.1785 0.3570 0.2559  2 Hg 3.02, 1 Pb 3.14, 1 Sr 3.23, 1 Sn 3.25
Hg3 0.1785 0.8215 0.2559  2 Hg 3.02, 1 Pb 3.14, 1 Sr 3.23, 1 Sn 3.25
Hg4 0.3570 0.1785 0.7441  2 Hg 3.02, 1 Pb 3.14, 1 Sr 3.23, 1 Sn 3.25
Hg5 0.8215 0.6430 0.7441  2 Hg 3.02, 1 Pb 3.14, 1 Sr 3.23, 1 Sn 3.25
Hg6 0.8215 0.1785 0.7441  2 Hg 3.02, 1 Pb 3.14, 1 Sr 3.23, 1 Sn 3.25
Sr1 0.3333 0.6667 0.6112  9 Hg 3.51-3.91, 1 Sn 3.61, 3 Pb 3.92
Sr2 0.6667 0.3333 0.3888  9 Hg 3.51-3.91, 1 Sn 3.61, 3 Pb 3.92
Sr3 0.0000 0.0000 0.0000  6 Hg 3.23
Pb1 0.0000 0.0000 0.5000  6 Hg 3.14